(1)
Density functional theory data (GGA-PBE) for LaPm3S after structural relaxation.

Lattice parameters (Å, degrees): 5.501 5.501 5.501 90.00 90.00 90.00
Sites, in units of the cell vectors:
La 0.000 0.000 0.000
Pm 0.000 0.500 0.500
Pm 0.500 0.000 0.500
Pm 0.500 0.500 0.000
S 0.500 0.500 0.500

## Properties
Formation energy (no corrections) = -0.683 eV/atom
Crystal system = cubic
Space-group type = Pm-3m, No. 221
D(E_F) = 7.22 states/eV per cell

***

(2)
Density functional theory data (GGA-PBE) for LaPm4S4 after structural relaxation.

Lattice parameters (Å, degrees): 6.999 6.999 6.999 99.52 99.52 132.01
Sites, in units of the cell vectors:
La 0.000 0.000 0.000
Pm 0.194 0.395 0.589
Pm 0.395 0.806 0.200
Pm 0.605 0.194 0.800
Pm 0.806 0.605 0.411
S 0.101 0.695 0.796
S 0.305 0.101 0.406
S 0.695 0.899 0.594
S 0.899 0.305 0.204

## Properties
Formation energy (no corrections) = -1.808 eV/atom
Crystal system = tetragonal
Space-group type = I4/m, No. 87
D(E_F) = 5.42 states/eV per cell

***

(3)
Density functional theory data (GGA-PBE) for La2PmS3 after structural relaxation.

Lattice parameters (Å, degrees): 13.576 12.943 7.144 79.33 69.54 31.14
Sites, in units of the cell vectors:
La 0.042 0.042 0.208
La 0.125 0.125 0.625
La 0.208 0.208 0.042
La 0.375 0.375 0.875
La 0.625 0.625 0.125
La 0.792 0.792 0.958
La 0.875 0.875 0.375
La 0.958 0.958 0.792
Pm 0.292 0.292 0.458
Pm 0.458 0.458 0.292
Pm 0.542 0.542 0.708
Pm 0.708 0.708 0.542
S 0.040 0.541 0.215
S 0.131 0.619 0.619
S 0.215 0.703 0.040
S 0.297 0.785 0.459
S 0.381 0.869 0.869
S 0.459 0.960 0.297
S 0.541 0.040 0.703
S 0.619 0.131 0.131
S 0.703 0.215 0.541
S 0.785 0.297 0.960
S 0.869 0.381 0.381
S 0.960 0.459 0.785

## Properties
Formation energy (no corrections) = -2.127 eV/atom
Crystal system = orthorhombic
Space-group type = Fddd, No. 70
D(E_F) = 11.01 states/eV per cell

***

(4)
Density functional theory data (GGA-PBE) for LaPmSbS after structural relaxation.

Lattice parameters (Å, degrees): 11.603 11.603 11.603 25.30 25.30 25.30
Sites, in units of the cell vectors:
La 0.205 0.205 0.205
La 0.795 0.795 0.795
Pm 0.377 0.377 0.377
Pm 0.623 0.623 0.623
Sb 0.100 0.100 0.100
Sb 0.900 0.900 0.900
S 0.296 0.296 0.296
S 0.704 0.704 0.704

## Properties
Formation energy (no corrections) = -1.327 eV/atom
Crystal system = trigonal
Space-group type = R-3m, No. 166
D(E_F) = 6.20 states/eV per cell